This record from the Alexandria database describes a relaxed Rb2Sn4Hg3Pb crystal. The functional is PBE.

Unit cell a=5.0909 b=5.0909 c=12.5415 alpha=90.00 beta=90.00 gamma=90.00
Element x y z (fractional)
Sn 0.0000 0.5000 0.3632
Sn 0.5000 0.5000 0.0000
Sn 0.0000 0.0000 0.0000
Sn 0.5000 0.0000 0.6368
Pb 0.5000 0.5000 0.5000
Hg 0.0000 0.0000 0.5000
Hg 0.0000 0.5000 0.1324
Hg 0.5000 0.0000 0.8676
Rb 0.5000 0.0000 0.2476
Rb 0.0000 0.5000 0.7524

Energy of formation from the pure elements = -1.35 eV per formula unit
Symmetry = P-4m2

This record from the Alexandria database describes a relaxed YTaVAu2 crystal. The functional is PBE.

Unit cell a=4.8786 b=4.7692 c=4.8786 alpha=90.00 beta=90.00 gamma=90.00
Site moments in Bohr magnetons follow the coordinates.
Element x y z (fractional)
Ta 0.5000 0.5000 0.5000  1.12
V 0.0000 0.0000 0.0000  1.00
Au 0.0000 0.0000 0.5000  0.04
Au 0.5000 0.0000 0.0000  0.07
Y 0.0000 0.5000 0.0000  0.18

Energy of formation from the pure elements = 5.70 eV per formula unit
Symmetry = P4/mmm

This record from the Alexandria database describes a relaxed TbHo2Al crystal. The functional is PBE.

Unit cell a=5.2843 b=6.8202 c=6.8202 alpha=119.94 beta=90.00 gamma=90.00
Element x y z (fractional)
Tb 0.5000 0.1752 0.3504
Tb 0.5000 0.6496 0.8248
Ho 0.0000 0.8256 0.6498
Ho 0.0000 0.3502 0.1744
Ho 0.5000 0.1749 0.8251
Ho 0.0000 0.8255 0.1745
Al 0.0000 0.3323 0.6677
Al 0.5000 0.6670 0.3330

Energy of formation from the pure elements = -0.80 eV per formula unit
E above lowest polymorph = 0.000 eV per atom
Symmetry = Amm2

This record from the Alexandria database describes a relaxed LaYAs2 crystal. The functional is PBE.

Unit cell a=3.8262 b=3.6458 c=7.5165 alpha=75.05 beta=90.00 gamma=90.00
Element x y z (fractional)
La 0.5000 0.2500 0.2500
As 0.0000 0.9946 0.9875
As 0.0000 0.5054 0.5125
Y 0.5000 0.7500 0.7500

Energy of formation from the pure elements = -4.74 eV per formula unit
E above lowest polymorph = 0.371 eV per atom
Symmetry = P2/m

This record from the Alexandria database describes a relaxed Pm5Pr2Y4 crystal. The functional is PBE.

Unit cell a=3.5626 b=9.2242 c=12.8512 alpha=111.03 beta=97.97 gamma=90.00
Element x y z (fractional)
Pm 0.1430 0.3393 0.2861
Pm 0.5000 0.0000 0.0000
Pm 0.1430 0.9468 0.2861
Pm 0.8570 0.6607 0.7139
Pm 0.8570 0.0532 0.7139
Pr 0.7328 0.7328 0.4656
Pr 0.2672 0.2672 0.5344
Y 0.5976 0.5976 0.1952
Y 0.4024 0.4024 0.8048
Y 0.0000 0.6875 0.0000
Y 0.0000 0.3125 0.0000

Energy of formation from the pure elements = 2.09 eV per formula unit
E above lowest polymorph = 0.174 eV per atom
Symmetry = Immm

This record from the Alexandria database describes a relaxed Rb4Ce3HgS8 crystal. The functional is PBE.

Unit cell a=8.3951 b=9.0737 c=8.4036 alpha=117.61 beta=119.97 gamma=90.00
Site moments in Bohr magnetons follow the coordinates.
Element x y z (fractional)
Ce 0.0000 0.5000 0.5000  0.67
Ce 0.5000 0.5000 0.5000  0.67
Ce 0.5000 0.5000 0.0000  -0.68
Rb 0.0000 0.0000 0.5000  0.00
Rb 0.0000 0.0000 0.0000  0.00
Rb 0.5000 0.0000 0.0000  0.00
Rb 0.5000 0.0000 0.5000  0.00
Hg 0.0000 0.5000 0.0000  0.00
S 0.2362 0.6951 0.9585  0.00
S 0.7638 0.3049 0.0415  0.00
S 0.2684 0.3048 0.5368  -0.01
S 0.2777 0.3049 0.0415  0.00
S 0.7628 0.3043 0.5256  -0.01
S 0.2372 0.6957 0.4744  -0.01
S 0.7223 0.6951 0.9585  0.00
S 0.7316 0.6952 0.4632  -0.01

Symmetry = C2/m
Formation energy without anion corrections = -1471 meV/atom

This record from the Alexandria database describes a relaxed NiOs2Pb crystal. The functional is PBE.

Unit cell a=3.0663 b=3.0640 c=6.8390 alpha=90.00 beta=90.00 gamma=90.00
Element x y z (fractional)
Os 0.0000 0.0000 0.9444
Os 0.0000 0.0000 0.5556
Pb 0.5000 0.5000 0.2500
Ni 0.5000 0.5000 0.7500

Energy of formation from the pure elements = 3.19 eV per formula unit
Symmetry = P4/mmm

This record from the Alexandria database describes a relaxed CaPrCdRu crystal. The functional is PBE.

Unit cell a=5.1643 b=5.1643 c=5.1643 alpha=60.00 beta=60.00 gamma=60.00
Element x y z (fractional)
Cd 0.0000 0.0000 0.0000
Ca 0.7500 0.7500 0.7500
Pr 0.2500 0.2500 0.2500
Ru 0.5000 0.5000 0.5000

Energy of formation from the pure elements = -0.18 eV per formula unit
Symmetry = F-43m

This record from the Alexandria database describes a relaxed YPuI6 crystal. The functional is PBE.

Unit cell a=7.5703 b=8.0928 c=8.0928 alpha=124.18 beta=98.34 gamma=98.34
Site moments in Bohr magnetons follow the coordinates.
Element x y z (fractional)
I 0.7450 0.8925 0.5952  -0.03
I 0.7472 0.2508 0.2508  -0.03
I 0.2550 0.1075 0.4048  -0.03
I 0.2550 0.4048 0.1075  -0.03
I 0.2528 0.7492 0.7492  -0.03
I 0.7450 0.5952 0.8925  -0.03
Y 0.5000 0.5000 0.5000  0.01
Pu 0.0000 0.0000 0.0000  5.14

E above lowest polymorph = 0.000 eV per atom
Symmetry = C2/m
Formation energy without anion corrections = -1193 meV/atom

This record from the Alexandria database describes a relaxed Ta2AlPd2 crystal. The functional is PBE.

Unit cell a=7.6079 b=7.6079 c=2.9798 alpha=90.00 beta=90.00 gamma=90.00
Element x y z (fractional)
Pd 0.1260 0.3740 0.0000
Pd 0.6260 0.1260 0.0000
Pd 0.8740 0.6260 0.0000
Pd 0.3740 0.8740 0.0000
Al 0.5000 0.5000 0.0000
Al 0.0000 0.0000 0.0000
Ta 0.8286 0.3286 0.5000
Ta 0.6714 0.8286 0.5000
Ta 0.1714 0.6714 0.5000
Ta 0.3286 0.1714 0.5000

Energy of formation from the pure elements = -0.64 eV per formula unit
E above lowest polymorph = 0.000 eV per atom
Symmetry = P4/mbm

This record from the Alexandria database describes a relaxed NiAgI2 crystal. The functional is PBE.

Unit cell a=5.2281 b=5.2281 c=5.2281 alpha=60.00 beta=60.00 gamma=60.00
Site moments in Bohr magnetons follow the coordinates.
Element x y z (fractional)
Ag 0.5000 0.5000 0.5000  0.00
I 0.2500 0.2500 0.2500  0.09
I 0.7500 0.7500 0.7500  0.09
Ni 0.0000 0.0000 0.0000  0.83

E above lowest polymorph = 0.572 eV per atom
Symmetry = Fm-3m
Formation energy without anion corrections = 564 meV/atom

This record from the Alexandria database describes a relaxed LiZnIn2 crystal. The functional is PBE.

Unit cell a=3.2364 b=3.2365 c=7.9878 alpha=90.00 beta=90.00 gamma=90.00
Element x y z (fractional)
In 0.5000 0.5000 0.2916
In 0.0000 0.0000 0.9696
Li 0.0000 0.0000 0.5286
Zn 0.5000 0.5000 0.7103

Energy of formation from the pure elements = -0.27 eV per formula unit
Symmetry = P4mm